(1)
MoIr2Pb | GGA-PBE | relaxed

Energy relative to the elements ... 0.35 eV/atom

POSCAR file:
```
MoIr2Pb
1.0
-1.921 3.841 -2.299
-4.152 2.198 -1.290
-0.545 3.174 3.964
Ir Mo Pb
2 1 1
Direct
0.007 0.007 0.992
0.752 0.752 0.724
0.490 0.490 0.554
0.251 0.251 0.230
```

***

(2)
Mo2IrPb | GGA-PBE | relaxed

Energy relative to the elements ... 0.54 eV/atom

POSCAR file:
```
Mo2IrPb
1.0
6.152 0.003 0.012
-2.377 4.563 -0.010
1.398 0.726 2.466
Ir Mo Pb
1 2 1
Direct
0.500 0.500 0.000
0.000 0.000 0.000
0.500 0.000 0.500
0.000 0.500 0.500
```

***

(3)
MoIr2Pb | GGA-PBE | relaxed

Energy relative to the elements ... 0.50 eV/atom

POSCAR file:
```
MoIr2Pb
1.0
5.750 0.011 0.003
2.946 4.938 -0.003
-3.669 -3.668 2.480
Ir Mo Pb
2 1 1
Direct
0.017 0.017 0.000
0.254 0.754 0.500
0.476 0.476 0.000
0.754 0.254 0.500
```

***

(4)
MoIr2Pb | GGA-PBE | relaxed

Energy relative to the elements ... 0.51 eV/atom

POSCAR file:
```
MoIr2Pb
1.0
9.340 -0.009 -0.006
8.878 2.901 -0.006
8.878 1.409 2.536
Ir Mo Pb
2 1 1
Direct
0.996 0.996 0.996
0.249 0.249 0.249
0.507 0.507 0.507
0.748 0.748 0.748
```

***

(5)
MoIr2Pb | GGA-PBE | relaxed

Energy relative to the elements ... 0.43 eV/atom

POSCAR file:
```
MoIr2Pb
1.0
-2.325 1.483 -1.118
-1.749 -2.351 0.520
-1.629 2.774 7.065
Ir Mo Pb
2 1 1
Direct
0.000 0.000 0.011
0.500 0.500 0.261
0.000 0.000 0.470
0.500 0.500 0.758
```

***

(6)
MoIr2Pb | GGA-PBE | relaxed

Energy relative to the elements ... 0.56 eV/atom

POSCAR file:
```
MoIr2Pb
1.0
-1.515 1.770 -1.887
-3.456 0.547 3.287
2.257 3.788 1.742
Ir Mo Pb
2 1 1
Direct
0.000 0.000 0.000
0.500 0.500 0.000
0.500 0.000 0.500
0.000 0.500 0.500
```

***

(7)
Mo2IrPb | GGA-PBE | relaxed

Energy relative to the elements ... 0.82 eV/atom

POSCAR file:
```
Mo2IrPb
1.0
7.449 0.000 0.000
0.000 7.449 0.000
3.724 3.724 2.778
Pb Mo Ir
2 4 2
Direct
0.000 0.000 0.000
0.750 0.250 0.500
0.588 0.125 0.250
0.162 0.625 0.250
0.375 0.412 0.750
0.875 0.838 0.750
0.500 0.500 0.000
0.250 0.750 0.500
```

***

(8)
Mo2IrPb | GGA-PBE | relaxed

Energy relative to the elements ... 0.46 eV/atom

POSCAR file:
```
Mo2IrPb
1.0
5.007 -0.005 0.038
4.055 2.937 0.038
1.186 0.384 4.857
Ir Mo Pb
1 2 1
Direct
0.268 0.268 0.191
0.006 0.006 0.017
0.728 0.728 0.782
0.498 0.498 0.511
```

***

(9)
Mo2IrPb | GGA-PBE | relaxed

Energy relative to the elements ... 0.39 eV/atom

POSCAR file:
```
Mo2IrPb
1.0
5.007 0.004 0.023
4.065 2.923 0.023
1.014 0.327 4.952
Ir Mo Pb
1 2 1
Direct
0.250 0.250 0.250
0.990 0.990 0.056
0.510 0.510 0.444
0.750 0.750 0.750
```

***

(10)
MoIr2Pb | GGA-PBE | relaxed

Energy relative to the elements ... 0.53 eV/atom

POSCAR file:
```
MoIr2Pb
1.0
4.889 0.000 0.000
0.000 4.889 0.000
0.000 0.000 2.891
Ir Mo Pb
2 1 1
Direct
0.000 0.000 0.000
0.500 0.500 0.000
0.500 0.000 0.500
0.000 0.500 0.500
```

***

(11)
Mo2IrPb | GGA-PBE | relaxed

Energy relative to the elements ... 0.45 eV/atom

POSCAR file:
```
Mo2IrPb
1.0
-0.595 -2.679 0.959
2.305 -1.028 -1.442
4.734 1.320 6.627
Ir Mo Pb
1 2 1
Direct
0.500 0.500 0.750
0.000 0.000 0.976
0.000 0.000 0.524
0.500 0.500 0.250
```

***

(12)
ReMo2IrPb | GGA-PBE | relaxed

Energy relative to the elements ... 3.06 eV/atom

POSCAR file:
```
ReMo2IrPb
1.0
4.898 0.000 0.000
0.000 4.756 0.000
0.000 0.000 4.898
Pb Re Mo Ir
1 1 2 1
Direct
0.000 0.000 0.000
0.500 0.500 0.500
0.000 0.000 0.500
0.500 0.000 0.000
0.000 0.500 0.000
```

***

How do the records compare in total magnetization? In the order shown, they have 0.0000 0.0000 0.0000 0.0001 0.0001 0.0000 0.0000 0.0000 0.0000 0.1070 0.0001 0.0004 μB per atom.
How do the records compare in E? In the order shown, they have -30.86 -32.05 -30.26 -30.24 -30.53 -30.02 -61.92 -32.39 -32.66 -30.13 -32.42 -31.38 eV for the cell shown.